The following is a DFT calculation (PBE) of LiGe2IrS after structural relaxation.

Properties
SG ... No. 123
Theoretical density ... 5.23 Mg/m³
Uncorrected formation energy ... 0.195 eV/atom

The structure in POSCAR format:
```
LiGe2IrS
1.0
4.6538 0.0000 0.0000
0.0000 4.6538 0.0000
0.0000 0.0000 5.5203
Li Ge Ir S
1 2 1 1
Cartesian
0.0000 0.0000 0.0000 Li
0.0000 2.3269 2.7602 Ge
2.3269 0.0000 2.7602 Ge
2.3269 2.3269 2.7602 Ir
2.3269 2.3269 0.0000 S
```

=====

The following is a DFT calculation (PBE) of LiGeSb2Ir after structural relaxation.

Properties
SG ... No. 123
Theoretical density ... 8.30 Mg/m³
Uncorrected formation energy ... 0.660 eV/atom

The structure in POSCAR format:
```
LiGeSb2Ir
1.0
4.8578 0.0000 0.0000
0.0000 4.8578 0.0000
0.0000 0.0000 4.3666
Li Ge Sb Ir
1 1 2 1
Cartesian
0.0000 0.0000 0.0000 Li
2.4289 2.4289 2.1833 Ge
0.0000 2.4289 0.0000 Sb
2.4289 0.0000 0.0000 Sb
0.0000 0.0000 2.1833 Ir
```

=====

The following is a DFT calculation (PBE) of LiScGeIr after structural relaxation.

Properties
Formation energy from the elements ... -0.70 eV per atom
SG ... No. 216
Theoretical density ... 8.56 Mg/m³

The structure in POSCAR format:
```
LiScGeIr
1.0
6.2634 0.0000 0.0000
0.0000 6.2634 0.0000
0.0000 0.0000 6.2634
Li Sc Ge Ir
4 4 4 4
Cartesian
0.0000 0.0000 0.0000 Li
0.0000 3.1317 3.1317 Li
3.1317 0.0000 3.1317 Li
3.1317 3.1317 0.0000 Li
1.5658 1.5658 1.5658 Sc
1.5658 4.6975 4.6975 Sc
4.6975 1.5658 4.6975 Sc
4.6975 4.6975 1.5658 Sc
1.5658 1.5658 4.6975 Ge
1.5658 4.6975 1.5658 Ge
4.6975 1.5658 1.5658 Ge
4.6975 4.6975 4.6975 Ge
0.0000 0.0000 3.1317 Ir
0.0000 3.1317 0.0000 Ir
3.1317 0.0000 0.0000 Ir
3.1317 3.1317 3.1317 Ir
```

=====

The following is a DFT calculation (PBE) of LiSm2Ge4Ir3 after structural relaxation.

Properties
Formation energy from the elements ... -0.72 eV per atom
SG ... No. 115
Theoretical density ... 10.50 Mg/m³

The structure in POSCAR format:
```
LiSm2Ge4Ir3
1.0
4.3027 0.0000 0.0000
0.0000 4.3027 0.0000
0.0000 0.0000 10.0397
Li Sm Ge Ir
1 2 4 3
Cartesian
0.0000 0.0000 0.0000 Li
0.0000 2.1514 7.4635 Sm
2.1514 0.0000 2.5761 Sm
0.0000 0.0000 5.0198 Ge
0.0000 2.1514 1.3053 Ge
2.1514 0.0000 8.7343 Ge
2.1514 2.1514 5.0198 Ge
0.0000 2.1514 3.7486 Ir
2.1514 0.0000 6.2911 Ir
2.1514 2.1514 0.0000 Ir
```

=====

The following is a DFT calculation (PBE) of LiSnGe2Ir after structural relaxation.

Properties
Formation energy from the elements ... 1.28 eV per atom
SG ... No. 123
Theoretical density ... 6.40 Mg/m³

The structure in POSCAR format:
```
LiSnGe2Ir
1.0
5.1032 0.0000 0.0000
0.0000 5.1032 0.0000
0.0000 0.0000 4.6147
Li Sn Ge Ir
1 1 2 1
Cartesian
0.0000 0.0000 0.0000 Li
0.0000 0.0000 2.3074 Sn
0.0000 2.5516 2.3074 Ge
2.5516 0.0000 2.3074 Ge
2.5516 2.5516 0.0000 Ir
```

=====

The following is a DFT calculation (PBE) of SrLiGe2Ir after structural relaxation.

Properties
Formation energy from the elements ... -0.52 eV per atom
SG ... No. 119
Theoretical density ... 7.27 Mg/m³

The structure in POSCAR format:
```
SrLiGe2Ir
1.0
4.2940 0.0000 0.0000
0.0000 4.2940 0.0000
0.0000 0.0000 10.7016
Sr Li Ge Ir
2 2 4 2
Cartesian
0.0000 0.0000 0.0000 Sr
2.1470 2.1470 5.3508 Sr
0.0000 2.1470 8.0262 Li
2.1470 0.0000 2.6754 Li
0.0000 0.0000 3.9696 Ge
0.0000 0.0000 6.7321 Ge
2.1470 2.1470 1.3813 Ge
2.1470 2.1470 9.3204 Ge
0.0000 2.1470 2.6754 Ir
2.1470 0.0000 8.0262 Ir
```

=====

The following is a DFT calculation (PBE) of Sr2LiGe2Ir after structural relaxation.

Properties
Formation energy from the elements ... -0.52 eV per atom
SG ... No. 72
Theoretical density ... 5.76 Mg/m³

The structure in POSCAR format:
```
Sr2LiGe2Ir
1.0
-3.0268 8.2580 2.9963
3.0268 -8.2580 2.9963
3.0268 8.2580 -2.9963
Sr Li Ge Ir
4 2 4 2
Cartesian
1.4341 2.6078 0.0000 Sr
1.4341 -2.6078 2.9963 Sr
1.5928 10.8658 0.0000 Sr
1.5928 5.6502 2.9963 Sr
0.0000 0.0000 1.4981 Li
0.0000 0.0000 4.4944 Li
4.4311 1.4287 0.0000 Ge
1.4043 6.8293 0.0000 Ge
1.6226 1.4287 2.9963 Ge
-1.4043 6.8293 2.9963 Ge
3.0268 0.0000 1.4981 Ir
0.0000 8.2580 1.4981 Ir
```

=====

The following is a DFT calculation (PBE) of SrLiGe2Ir2 after structural relaxation.

Properties
Formation energy from the elements ... -0.56 eV per atom
SG ... No. 164
Theoretical density ... 9.13 Mg/m³

The structure in POSCAR format:
```
SrLiGe2Ir2
1.0
4.2708 0.0000 0.0000
-2.1354 3.6986 0.0000
0.0000 0.0000 7.1878
Sr Li Ge Ir
1 1 2 2
Cartesian
0.0000 0.0000 0.0000 Sr
0.0000 0.0000 3.5939 Li
0.0000 2.4658 2.1411 Ge
2.1354 1.2329 5.0468 Ge
0.0000 2.4658 4.6447 Ir
2.1354 1.2329 2.5431 Ir
```

=====

The following is a DFT calculation (PBE) of LiTbGeIr after structural relaxation.

Properties
Formation energy from the elements ... -0.58 eV per atom
SG ... No. 216
Theoretical density ... 10.33 Mg/m³

The structure in POSCAR format:
```
LiTbGeIr
1.0
6.5174 0.0000 0.0000
0.0000 6.5174 0.0000
0.0000 0.0000 6.5174
Li Tb Ge Ir
4 4 4 4
Cartesian
0.0000 0.0000 0.0000 Li
0.0000 3.2587 3.2587 Li
3.2587 0.0000 3.2587 Li
3.2587 3.2587 0.0000 Li
1.6293 1.6293 4.8880 Tb
1.6293 4.8880 1.6293 Tb
4.8880 1.6293 1.6293 Tb
4.8880 4.8880 4.8880 Tb
1.6293 1.6293 1.6293 Ge
1.6293 4.8880 4.8880 Ge
4.8880 1.6293 4.8880 Ge
4.8880 4.8880 1.6293 Ge
0.0000 0.0000 3.2587 Ir
0.0000 3.2587 0.0000 Ir
3.2587 0.0000 0.0000 Ir
3.2587 3.2587 3.2587 Ir
```

=====

The following is a DFT calculation (PBE) of LiThGeIr after structural relaxation.

Properties
Formation energy from the elements ... -0.58 eV per atom
SG ... No. 216
Theoretical density ... 11.13 Mg/m³

The structure in POSCAR format:
```
LiThGeIr
1.0
6.6989 0.0000 0.0000
0.0000 6.6989 0.0000
0.0000 0.0000 6.6989
Li Th Ge Ir
4 4 4 4
Cartesian
0.0000 0.0000 0.0000 Li
0.0000 3.3494 3.3494 Li
3.3494 0.0000 3.3494 Li
3.3494 3.3494 0.0000 Li
1.6747 1.6747 5.0242 Th
1.6747 5.0242 1.6747 Th
5.0242 1.6747 1.6747 Th
5.0242 5.0242 5.0242 Th
1.6747 1.6747 1.6747 Ge
1.6747 5.0242 5.0242 Ge
5.0242 1.6747 5.0242 Ge
5.0242 5.0242 1.6747 Ge
0.0000 0.0000 3.3494 Ir
0.0000 3.3494 0.0000 Ir
3.3494 0.0000 0.0000 Ir
3.3494 3.3494 3.3494 Ir
```

=====

The following is a DFT calculation (PBE) of LiThGe2Ir after structural relaxation.

Properties
Formation energy from the elements ... -0.70 eV per atom
SG ... No. 119
Theoretical density ... 10.35 Mg/m³

The structure in POSCAR format:
```
LiThGe2Ir
1.0
4.1910 0.0000 0.0000
0.0000 4.1910 0.0000
0.0000 0.0000 10.5333
Li Th Ge Ir
2 2 4 2
Cartesian
0.0000 0.0000 0.0000 Li
2.0955 2.0955 5.2667 Li
0.0000 2.0955 7.9000 Th
2.0955 0.0000 2.6333 Th
0.0000 2.0955 1.3537 Ge
0.0000 2.0955 3.9130 Ge
2.0955 0.0000 6.6203 Ge
2.0955 0.0000 9.1796 Ge
0.0000 0.0000 5.2667 Ir
2.0955 2.0955 0.0000 Ir
```

=====

The following is a DFT calculation (PBE) of LiTh2Ge4Ir3 after structural relaxation.

Properties
Formation energy from the elements ... -0.75 eV per atom
SG ... No. 115
Theoretical density ... 11.85 Mg/m³

The structure in POSCAR format:
```
LiTh2Ge4Ir3
1.0
4.3155 0.0000 0.0000
0.0000 4.3155 0.0000
0.0000 0.0000 10.0695
Li Th Ge Ir
1 2 4 3
Cartesian
0.0000 0.0000 0.0000 Li
0.0000 2.1578 7.5463 Th
2.1578 0.0000 2.5232 Th
0.0000 0.0000 5.0348 Ge
0.0000 2.1578 1.3023 Ge
2.1578 0.0000 8.7672 Ge
2.1578 2.1578 5.0348 Ge
0.0000 2.1578 3.7592 Ir
2.1578 0.0000 6.3104 Ir
2.1578 2.1578 0.0000 Ir
```

=====

Q: Which of these has the lowest theoretical density?
A: LiGe2IrS

=====

Q: Number 5 is which compound?
A: LiSnGe2Ir